Record 1
! NbSi3Ge | the Alexandria database | PBE | relaxed; values from VASP
&SYSTEM
  ibrav = 0, nat = 5, ntyp = 3
/
ATOMIC_SPECIES
Si 28.09 Si.upf
Nb 92.91 Nb.upf
Ge 72.64 Ge.upf
ATOMIC_POSITIONS angstrom
Si 2.438 0.000 0.000
Si 0.000 2.438 0.000
Si 0.000 0.000 2.438
Nb 0.000 0.000 0.000
Ge 2.438 2.438 2.438
CELL_PARAMETERS angstrom
4.875 0.000 0.000
0.000 4.875 0.000
0.000 0.000 4.875
! - size of the total moment (μB per atom) = 0.0000
! - space group = No. 221
! - E above lowest polymorph (meV/atom) = 0.0


Record 2
! TiCoGeBi2 | the Alexandria database | PBE | relaxed; values from VASP
&SYSTEM
  ibrav = 0, nat = 5, ntyp = 4
/
ATOMIC_SPECIES
Ti 47.87 Ti.upf
Co 58.93 Co.upf
Bi 208.98 Bi.upf
Ge 72.64 Ge.upf
ATOMIC_POSITIONS angstrom
Ti 0.000 2.397 0.000
Co 2.729 2.397 2.729
Bi 0.000 0.000 2.729
Bi 2.729 0.000 0.000
Ge 0.000 0.000 0.000
CELL_PARAMETERS angstrom
5.457 0.000 0.000
0.000 4.794 0.000
0.000 0.000 5.457
! - size of the total moment (μB per atom) = 0.1795
! - space group = No. 123
! - E above lowest polymorph (meV/atom) = 578.1


Record 3
! CsK4Ge4 | the Alexandria database | PBE | relaxed; values from VASP
&SYSTEM
  ibrav = 0, nat = 18, ntyp = 3
/
ATOMIC_SPECIES
K 39.10 K.upf
Ge 72.64 Ge.upf
Cs 132.91 Cs.upf
ATOMIC_POSITIONS angstrom
K -7.257 -7.695 1.830
K -5.815 -1.105 0.818
K -4.206 -5.060 2.070
K -6.735 -0.378 -3.046
K -10.645 -7.005 -0.970
K -4.909 -7.053 -5.614
K -4.198 -3.079 -5.508
K -9.227 -7.617 -4.701
Ge -2.749 -2.672 0.022
Ge -9.728 -5.168 1.824
Ge -3.875 -2.202 -1.912
Ge -7.418 -4.505 -5.622
Ge -7.661 -4.196 1.738
Ge -7.614 -2.237 -5.838
Ge -7.541 -8.594 -1.764
Ge -6.404 -9.419 -3.568
Cs 0.000 0.000 0.000
Cs -6.624 -4.874 -1.890
CELL_PARAMETERS angstrom
-5.926 3.391 -0.338
-2.482 -5.258 -9.232
-4.839 -7.881 5.790
! - size of the total moment (μB per atom) = 0.0000
! - space group = No. 86
! - VASP energy (eV for the cell shown) = -48.06


Record 4
! BIr3W | the Alexandria database | PBE | relaxed; values from VASP
&SYSTEM
  ibrav = 0, nat = 5, ntyp = 3
/
ATOMIC_SPECIES
Ir 192.22 Ir.upf
W 183.84 W.upf
B 10.81 B.upf
ATOMIC_POSITIONS angstrom
Ir 0.863 -0.229 2.207
Ir -2.210 0.119 0.876
Ir 0.195 2.366 0.169
W 0.000 0.000 0.000
B -1.152 2.257 3.252
CELL_PARAMETERS angstrom
-4.420 0.238 1.753
1.726 -0.457 4.413
0.389 4.733 0.338
! - size of the total moment (μB per atom) = 0.0000
! - space group = No. 221
! - E above lowest polymorph (meV/atom) = 2205.6


Record 5
! Cs2Tl5In2 | the Alexandria database | PBE | relaxed; values from VASP
&SYSTEM
  ibrav = 0, nat = 9, ntyp = 3
/
ATOMIC_SPECIES
In 114.82 In.upf
Tl 204.38 Tl.upf
Cs 132.91 Cs.upf
ATOMIC_POSITIONS angstrom
In 0.760 -3.202 2.491
In 8.920 -3.341 5.347
Tl 8.257 -2.777 2.319
Tl 3.183 -2.690 0.544
Tl 7.240 -0.677 5.329
Tl 4.840 -3.271 3.919
Tl 2.166 -0.590 3.553
Cs 5.582 -0.095 1.954
Cs 0.000 0.000 0.000
CELL_PARAMETERS angstrom
-1.759 -1.076 4.975
0.275 -5.276 -1.044
11.165 -0.191 3.907
! - size of the total moment (μB per atom) = 0.0000
! - space group = No. 123
! - VASP energy (eV for the cell shown) = -18.86


Record 6
! ZnH2Pd2 | the Alexandria database | PBE | relaxed; values from VASP
&SYSTEM
  ibrav = 0, nat = 5, ntyp = 3
/
ATOMIC_SPECIES
H 1.01 H.upf
Zn 65.41 Zn.upf
Pd 106.42 Pd.upf
ATOMIC_POSITIONS angstrom
H 3.179 1.589 2.523
H 1.589 3.179 2.523
Zn 0.000 0.000 0.000
Pd 3.179 3.179 3.559
Pd 1.589 1.589 1.486
CELL_PARAMETERS angstrom
3.179 0.000 0.000
0.000 3.179 0.000
1.589 1.589 5.045
! - size of the total moment (μB per atom) = 0.0000
! - space group = No. 139
! - E above lowest polymorph (meV/atom) = 0.0


Record 7
! MnIrOs | the Alexandria database | PBE | relaxed; values from VASP
&SYSTEM
  ibrav = 0, nat = 3, ntyp = 3
/
ATOMIC_SPECIES
Ir 192.22 Ir.upf
Mn 54.94 Mn.upf
Os 190.23 Os.upf
ATOMIC_POSITIONS angstrom
Ir 6.997 3.999 0.000
Mn 2.317 1.324 0.000
Os 4.701 2.687 0.000
CELL_PARAMETERS angstrom
4.648 0.000 -0.004
2.359 4.005 0.004
-3.138 -2.642 2.185
! - size of the total moment (μB per atom) = 0.5514
! - space group = No. 44
! - E above lowest polymorph (meV/atom) = 0.0


Record 8
! La2CrInN | the Alexandria database | PBE | relaxed; values from VASP
&SYSTEM
  ibrav = 0, nat = 5, ntyp = 4
/
ATOMIC_SPECIES
La 138.91 La.upf
In 114.82 In.upf
N 14.01 N.upf
Cr 52.00 Cr.upf
ATOMIC_POSITIONS angstrom
La -0.196 -0.502 -2.662
La 2.038 -1.785 0.187
In 0.573 -3.699 -2.115
N 0.000 0.000 0.000
Cr -1.269 -1.412 0.360
CELL_PARAMETERS angstrom
-0.393 -1.005 -5.323
4.077 -3.569 0.373
-2.539 -2.825 0.720
! - size of the total moment (μB per atom) = 0.4836
! - space group = No. 123
! - VASP energy (eV for the cell shown) = -33.49


Which of these has the highest size of the total moment? MnIrOs


The highest size of the total moment belongs to which entry? MnIrOs